Entry from the Alexandria database: an optimized crystal structure of La2MnBeFe (GGA-PBE).

Calculated values
Symmetry: P4/mmm (123)
Formation energy from the elements: 0.61 eV/atom

Geometry as POSCAR:
```
La2MnBeFe
1.0
5.320 0.000 0.000
0.000 4.143 0.000
0.000 0.000 5.320
Fe Mn Be La
1 1 1 2
Direct
0.000 0.500 0.000
0.000 0.000 0.000
0.500 0.500 0.500
0.000 0.000 0.500
0.500 0.000 0.000
```